Computed, not measured: a geometry-optimized LiHfBr2 structure at the PBE level of DFT.

a = 6.7877 Å, b = 6.7877 Å, c = 6.7877 Å
α = 90.00°, β = 90.00°, γ = 90.00°
With the nearest neighbours (Å) after each atom.
Space group Fm-3m (No. 225)
One atom of each set of equivalent atoms:
Li: 0.0000 0.0000 0.0000  8 Br 2.94
Hf: 0.0000 0.0000 0.5000  8 Br 2.94
Br: 0.2500 0.2500 0.2500  4 Hf 2.94, 4 Li 2.94

Results
Electronic total energy (eV/atom): -4.042